Computed, not measured: crystalline AgHgMoO4 at its relaxed geometry at the GGA+U level of DFT.

Summary:
Magnetization = 0.0 μB per formula unit
Final energy = -73.38 eV per cell
Space group = No. 12

Lattice parameters (Å, degrees): 9.1144 9.1144 6.7520 54.93 54.93 45.91
Element x y z (fractional)
Mo 0.3377 0.3377 0.1987
Ag 0.1416 0.1416 0.9597
Hg 0.9225 0.9225 0.5025
Mo 0.6623 0.6623 0.8013
Hg 0.0775 0.0775 0.4975
O 0.2019 0.2019 0.5021
Ag 0.8584 0.8584 0.0403
O 0.1521 0.5632 0.0172
O 0.8479 0.4368 0.9828
O 0.4368 0.8479 0.9828
O 0.4134 0.4134 0.2929
O 0.7981 0.7981 0.4979
O 0.5632 0.1521 0.0172
O 0.5866 0.5866 0.7071